Entry 1:
Computed, not measured: a crystal of Er2MgTc relaxed with PBEsol at the SCAN level of DFT.

Total energy, eV per atom: -35.259
Total moment, μB/cell: 0.01
Energy of formation from the pure elements, eV per atom: -0.081

Cell: 6.952 6.952 6.952 Å, 90.00 90.00 90.00°
Space group Fm-3m (No. 225)
Unique sites:
Er (0.250, 0.250, 0.250) (multiplicity 8)
Mg (0.000, 0.000, 0.000) (multiplicity 4)
Tc (0.000, 0.000, 0.500) (multiplicity 4)

Entry 2:
Computed, not measured: a crystal of Ag2BrCl relaxed with PBEsol at the SCAN level of DFT.

Total energy, eV per atom: -22.965
Distance to the lowest polymorph of the same formula, meV/atom: 36.3
Total moment, μB/cell: 0.00

Cell: 11.625 3.738 3.847 Å, 90.00 90.08 90.00°
Space group Cm (No. 8)
Unique sites:
Ag (0.000, 0.000, 0.000) (multiplicity 2)
Ag (0.189, 0.000, 0.502) (multiplicity 2)
Br (0.259, 0.500, 0.002) (multiplicity 2)
Cl (0.493, 0.000, 0.500) (multiplicity 2)

Entry 3:
Computed, not measured: a crystal of Ta8CoSe8 relaxed with PBEsol at the SCAN level of DFT.

Total energy, eV per atom: -42.478
Total moment, μB/cell: 0.00

Cell: 22.397 3.402 16.822 Å, 90.00 90.00 90.00°
Space group Pnma (No. 62)
Unique sites:
Ta (0.017, 0.250, 0.165) (multiplicity 4)
Ta (0.045, 0.250, 0.959) (multiplicity 4)
Ta (0.054, 0.750, 0.304) (multiplicity 4)
Ta (0.058, 0.750, 0.682) (multiplicity 4)
Ta (0.123, 0.750, 0.842) (multiplicity 4)
Ta (0.167, 0.250, 0.707) (multiplicity 4)
Ta (0.184, 0.750, 0.562) (multiplicity 4)
Ta (0.246, 0.250, 0.448) (multiplicity 4)
Co (0.055, 0.250, 0.792) (multiplicity 4)
Se (0.031, 0.250, 0.414) (multiplicity 4)
Se (0.075, 0.750, 0.070) (multiplicity 4)
Se (0.097, 0.250, 0.575) (multiplicity 4)
Se (0.122, 0.250, 0.232) (multiplicity 4)
Se (0.163, 0.250, 0.952) (multiplicity 4)
Se (0.164, 0.750, 0.409) (multiplicity 4)
Se (0.232, 0.750, 0.788) (multiplicity 4)
Se (0.236, 0.750, 0.105) (multiplicity 4)

Entry 4:
Computed, not measured: a crystal of Be2Nb2Mo relaxed with PBEsol at the SCAN level of DFT.

Total energy, eV per atom: -22.168
Total moment, μB/cell: 0.00
Energy of formation from the pure elements, eV per atom: -0.197

Cell: 6.367 6.367 3.298 Å, 90.00 90.00 90.00°
Space group P4/mbm (No. 127)
Unique sites:
Be (0.116, 0.384, 0.000) (multiplicity 4)
Nb (0.180, 0.680, 0.500) (multiplicity 4)
Mo (0.000, 0.000, 0.000) (multiplicity 2)

Entry 5:
Computed, not measured: a crystal of CsBe3Au relaxed with PBEsol at the SCAN level of DFT.

Total energy, eV per atom: -21.506
Total moment, μB/cell: 0.00
Energy of formation from the pure elements, eV per atom: 2.500

Cell: 6.253 6.253 6.253 Å, 90.00 90.00 90.00°
Space group Pm-3m (No. 221)
Unique sites:
Cs (0.000, 0.000, 0.000) (multiplicity 1)
Be (0.000, 0.000, 0.500) (multiplicity 3)
Au (0.500, 0.500, 0.500) (multiplicity 1)

Entry 6:
Computed, not measured: a crystal of TmSbRh2 relaxed with PBEsol at the SCAN level of DFT.

Total energy, eV per atom: -40.008
Total moment, μB/cell: 1.20

Cell: 6.511 6.511 6.511 Å, 90.00 90.00 90.00°
Space group Fm-3m (No. 225)
Unique sites:
Tm (0.000, 0.000, 0.000) (multiplicity 4)
Sb (0.000, 0.000, 0.500) (multiplicity 4)
Rh (0.250, 0.250, 0.250) (multiplicity 8)

Entry 7:
Computed, not measured: a crystal of LaGe3C relaxed with PBEsol at the SCAN level of DFT.

Total energy, eV per atom: -21.576
Total moment, μB/cell: 0.00
Energy of formation from the pure elements, eV per atom: 0.518

Cell: 4.495 4.495 4.495 Å, 90.00 90.00 90.00°
Space group Pm-3m (No. 221)
Unique sites:
La (0.000, 0.000, 0.000) (multiplicity 1)
Ge (0.000, 0.500, 0.500) (multiplicity 3)
C (0.500, 0.500, 0.500) (multiplicity 1)

Entry 8:
Computed, not measured: a crystal of YTlMo2 relaxed with PBEsol at the SCAN level of DFT.

Total energy, eV per atom: -41.821
Distance to the lowest polymorph of the same formula, meV/atom: 346.8
Total moment, μB/cell: 0.00
Energy of formation from the pure elements, eV per atom: 0.672

Cell: 5.922 8.975 2.886 Å, 90.00 90.00 90.00°
Space group Cmmm (No. 65)
Unique sites:
Y (0.000, 0.000, 0.000) (multiplicity 2)
Tl (0.000, 0.500, 0.000) (multiplicity 2)
Mo (0.250, 0.250, 0.500) (multiplicity 4)

Entry 9:
Computed, not measured: a crystal of TaSe relaxed with PBEsol at the SCAN level of DFT.

Total energy, eV per atom: -42.795
Total moment, μB/cell: 0.01

Cell: 5.725 5.725 5.725 Å, 90.00 90.00 90.00°
Space group F-43m (No. 216)
Unique sites:
Ta (0.000, 0.000, 0.000) (multiplicity 4)
Se (0.250, 0.250, 0.750) (multiplicity 4)

Entry 10:
Computed, not measured: a crystal of LiZnIn2 relaxed with PBEsol at the SCAN level of DFT.

Total energy, eV per atom: -20.785
Total moment, μB/cell: 0.00
Energy of formation from the pure elements, eV per atom: -0.115

Cell: 3.360 4.677 4.966 Å, 90.00 90.00 90.00°
Space group Pmm2 (No. 25)
Unique sites:
Li (0.000, 0.000, 0.000) (multiplicity 1)
Zn (0.000, 0.500, 0.652) (multiplicity 1)
In (0.500, 0.000, 0.520) (multiplicity 1)
In (0.500, 0.500, 0.126) (multiplicity 1)

Entry 11:
Computed, not measured: a crystal of PbAu2 relaxed with PBEsol at the SCAN level of DFT.

Total energy, eV per atom: -71.304
Total moment, μB/cell: 0.00
Energy of formation from the pure elements, eV per atom: 0.061

Cell: 3.523 14.561 4.834 Å, 90.00 90.00 90.00°
Space group Cmcm (No. 63)
Unique sites:
Pb (0.000, 0.105, 0.250) (multiplicity 4)
Au (0.000, 0.224, 0.750) (multiplicity 4)
Au (0.000, 0.434, 0.250) (multiplicity 4)

Entry 12:
Computed, not measured: a crystal of NaZr2CuF11 relaxed with PBEsol at the SCAN level of DFT.

Total energy, eV per atom: -11.422
Total moment, μB/cell: 1.00

Cell: 5.440 5.773 7.649 Å, 110.68 96.17 106.10°
Space group P-1 (No. 2)
Unique sites:
Na (0.000, 0.000, 0.000) (multiplicity 1)
Zr (0.484, 0.268, 0.763) (multiplicity 2)
Cu (0.000, 0.500, 0.500) (multiplicity 1)
F (0.195, 0.937, 0.720) (multiplicity 2)
F (0.209, 0.389, 0.652) (multiplicity 2)
F (0.233, 0.808, 0.116) (multiplicity 2)
F (0.250, 0.510, 0.345) (multiplicity 2)
F (0.358, 0.333, 0.028) (multiplicity 2)
F (0.500, 0.000, 0.500) (multiplicity 1)

Entry 13:
Computed, not measured: a crystal of Pr3CBr3 relaxed with PBEsol at the SCAN level of DFT.

Total energy, eV per atom: -29.822
Total moment, μB/cell: 0.00

Cell: 11.340 11.340 11.340 Å, 90.00 90.00 90.00°
Space group I4_132 (No. 214)
Unique sites:
Pr (0.106, 0.356, 0.125) (multiplicity 24)
C (0.125, 0.125, 0.125) (multiplicity 8)
Br (0.114, 0.136, 0.625) (multiplicity 24)

Entry 14:
Computed, not measured: a crystal of CdTeSe relaxed with PBEsol at the SCAN level of DFT.

Total energy, eV per atom: -29.186
Distance to the lowest polymorph of the same formula, meV/atom: 152.6
Total moment, μB/cell: 0.00

Cell: 3.866 3.866 9.868 Å, 90.00 90.00 90.00°
Space group I4mm (No. 107)
Unique sites:
Cd (0.000, 0.000, 0.000) (multiplicity 2)
Te (0.000, 0.000, 0.340) (multiplicity 2)
Se (0.000, 0.000, 0.615) (multiplicity 2)

Entry 15:
Computed, not measured: a crystal of InAsSe2Br relaxed with PBEsol at the SCAN level of DFT.

Total energy, eV per atom: -22.653
Total moment, μB/cell: 0.00

Cell: 5.006 5.006 5.341 Å, 90.00 90.00 90.00°
Space group P4/mmm (No. 123)
Unique sites:
In (0.000, 0.000, 0.000) (multiplicity 1)
As (0.500, 0.500, 0.500) (multiplicity 1)
Se (0.000, 0.500, 0.500) (multiplicity 2)
Br (0.500, 0.500, 0.000) (multiplicity 1)

Entry 16:
Computed, not measured: a crystal of BaIn8 relaxed with PBEsol at the SCAN level of DFT.

Total energy, eV per atom: -34.236
Total moment, μB/cell: 0.00
Energy of formation from the pure elements, eV per atom: -0.164

Cell: 9.993 9.993 4.913 Å, 90.00 90.00 90.00°
Space group I4/mmm (No. 139)
Unique sites:
Ba (0.000, 0.000, 0.000) (multiplicity 2)
In (0.000, 0.348, 0.000) (multiplicity 8)
In (0.182, 0.182, 0.500) (multiplicity 8)

Entry 17:
Computed, not measured: a crystal of Na2PdBr relaxed with PBEsol at the SCAN level of DFT.

Total energy, eV per atom: -15.564
Total moment, μB/cell: 0.00

Cell: 7.829 7.829 5.835 Å, 90.00 90.00 90.00°
Space group I-42d (No. 122)
Unique sites:
Na (0.247, 0.750, 0.125) (multiplicity 8)
Pd (0.000, 0.000, 0.500) (multiplicity 4)
Br (0.000, 0.000, 0.000) (multiplicity 4)

Entry 18:
Computed, not measured: a crystal of HgP2WS relaxed with PBEsol at the SCAN level of DFT.

Total energy, eV per atom: -33.239
Total moment, μB/cell: 0.00

Cell: 4.745 4.745 4.567 Å, 90.00 90.00 90.00°
Space group P4/mmm (No. 123)
Unique sites:
Hg (0.000, 0.000, 0.000) (multiplicity 1)
P (0.000, 0.500, 0.500) (multiplicity 2)
W (0.500, 0.500, 0.500) (multiplicity 1)
S (0.500, 0.500, 0.000) (multiplicity 1)

Entry 19:
Computed, not measured: a crystal of Ca2ScPb relaxed with PBEsol at the SCAN level of DFT.

Total energy, eV per atom: -27.475
Total moment, μB/cell: 2.77
Energy of formation from the pure elements, eV per atom: -0.138

Cell: 3.5986 3.5986 32.9882 Å, 90.00 90.00 120.00°
Space group R3m (No. 160, hexagonal axes)
Unique sites:
Ca (0.0000, 0.0000, 0.0000) (multiplicity 3)
Ca (0.0000, 0.0000, 0.2341) (multiplicity 3)
Sc (0.0000, 0.0000, 0.7531) (multiplicity 3)
Pb (0.0000, 0.0000, 0.4903) (multiplicity 3)

Entry 20:
Computed, not measured: a crystal of MgTeMo relaxed with PBEsol at the SCAN level of DFT.

Total energy, eV per atom: -25.156
Total moment, μB/cell: 0.00

Cell: 6.342 6.342 6.342 Å, 90.00 90.00 90.00°
Space group F-43m (No. 216)
Unique sites:
Mg (0.000, 0.000, 0.000) (multiplicity 4)
Te (0.000, 0.000, 0.500) (multiplicity 4)
Mo (0.250, 0.250, 0.250) (multiplicity 4)

Entry 21:
Computed, not measured: a crystal of Sc2TeSe relaxed with PBEsol at the SCAN level of DFT.

Total energy, eV per atom: -22.898
Distance to the lowest polymorph of the same formula, meV/atom: 51.7
Total moment, μB/cell: 3.21

Cell: 3.689 3.692 12.943 Å, 90.00 90.00 90.00°
Space group Imm2 (No. 44)
Unique sites:
Sc (0.000, 0.000, 0.000) (multiplicity 2)
Sc (0.000, 0.500, 0.230) (multiplicity 2)
Te (0.000, 0.000, 0.401) (multiplicity 2)
Se (0.000, 0.500, 0.655) (multiplicity 2)

Entry 22:
Computed, not measured: a crystal of CaTl2In relaxed with PBEsol at the SCAN level of DFT.

Total energy, eV per atom: -47.224
Total moment, μB/cell: 0.00
Energy of formation from the pure elements, eV per atom: -0.282

Cell: 3.880 3.880 7.126 Å, 90.00 90.00 90.00°
Space group P4/mmm (No. 123)
Unique sites:
Ca (0.000, 0.000, 0.000) (multiplicity 1)
Tl (0.500, 0.500, 0.266) (multiplicity 2)
In (0.000, 0.000, 0.500) (multiplicity 1)